<one>
4
Lattice="0.000 3.643 3.643 3.643 0.000 3.643 3.643 3.643 0.000" Properties=species:S:1:pos:R:3 comment="PBE-GGA GdPu2Pd, relaxed" dos_ef_per_ev_atom=4.496 pbc="T T T"
Gd 0.000 0.000 0.000
Pu 1.822 1.822 1.822
Pu 5.465 5.465 5.465
Pd 3.643 3.643 3.643



<two>
4
Lattice="3.672 0.000 0.000 0.000 3.672 0.000 0.000 0.000 7.667" Properties=species:S:1:pos:R:3 comment="PBE-GGA GdPu2Pd, relaxed" dos_ef_per_ev_atom=3.349 pbc="T T T"
Gd 0.000 0.000 0.000
Pu 1.836 1.836 2.276
Pu 1.836 1.836 5.391
Pd 0.000 0.000 3.833



Relative energies, in eV/atom, with the most stable structure set to zero: <one> 0.145; <two> 0.000.



<one>
4
Lattice="3.565 0.000 0.000 0.000 3.565 0.000 0.000 0.000 8.330" Properties=species:S:1:pos:R:3 comment="PBE-GGA Gd2PuPd, relaxed" dos_ef_per_ev_atom=1.729 pbc="T T T"
Gd 0.000 0.000 1.716
Gd 0.000 0.000 6.614
Pu 1.782 1.782 4.165
Pd 1.782 1.782 0.000



<two>
4
Lattice="0.000 3.707 3.707 3.707 0.000 3.707 3.707 3.707 0.000" Properties=species:S:1:pos:R:3 comment="PBE-GGA Gd2PuPd, relaxed" dos_ef_per_ev_atom=3.928 pbc="T T T"
Gd 1.853 1.853 1.853
Gd 5.560 5.560 5.560
Pu 0.000 0.000 0.000
Pd 3.707 3.707 3.707



Relative energies, in eV/atom, with the most stable structure set to zero: <one> 0.000; <two> 0.265.



<one>
4
Lattice="0.000 3.537 3.537 3.537 0.000 3.537 3.537 3.537 0.000" Properties=species:S:1:pos:R:3 comment="PBE-GGA GdPuPd2, relaxed" dos_ef_per_ev_atom=3.288 pbc="T T T"
Gd 0.000 0.000 0.000
Pu 3.537 3.537 3.537
Pd 1.768 1.768 1.768
Pd 5.305 5.305 5.305



<two>
4
Lattice="5.069 0.000 0.000 0.000 5.069 0.000 0.000 0.000 3.432" Properties=species:S:1:pos:R:3 comment="PBE-GGA GdPuPd2, relaxed" dos_ef_per_ev_atom=3.145 pbc="T T T"
Gd 0.000 0.000 0.000
Pu 2.535 2.535 0.000
Pd 0.000 2.535 1.716
Pd 2.535 0.000 1.716



Relative energies, in eV/atom, with the most stable structure set to zero: <one> 0.016; <two> 0.000.



<one>
4
Lattice="0.000 3.669 3.669 3.669 0.000 3.669 3.669 3.669 0.000" Properties=species:S:1:pos:R:3 comment="PBE-GGA Gd2SbPd, relaxed" dos_ef_per_ev_atom=1.222 pbc="T T T"
Gd 1.834 1.834 1.834
Gd 5.503 5.503 5.503
Sb 0.000 0.000 0.000
Pd 3.669 3.669 3.669



<two>
4
Lattice="5.035 0.000 0.000 0.000 5.035 0.000 0.000 0.000 3.897" Properties=species:S:1:pos:R:3 comment="PBE-GGA Gd2SbPd, relaxed" dos_ef_per_ev_atom=0.854 pbc="T T T"
Gd 0.000 2.517 0.000
Gd 2.517 0.000 0.000
Sb 0.000 0.000 1.949
Pd 2.517 2.517 1.949



Relative energies, in eV/atom, with the most stable structure set to zero: <one> 0.018; <two> 0.000.



<one>
4
Lattice="0.000 3.515 3.515 3.515 0.000 3.515 3.515 3.515 0.000" Properties=species:S:1:pos:R:3 comment="PBE-GGA GdSc2Pd, relaxed" dos_ef_per_ev_atom=1.529 pbc="T T T"
Gd 0.000 0.000 0.000
Sc 1.757 1.757 1.757
Sc 5.272 5.272 5.272
Pd 3.515 3.515 3.515



<two>
4
Lattice="3.387 0.000 0.000 0.000 3.387 0.000 0.000 0.000 8.088" Properties=species:S:1:pos:R:3 comment="PBE-GGA GdSc2Pd, relaxed" dos_ef_per_ev_atom=1.242 pbc="T T T"
Gd 0.000 0.000 0.000
Sc 1.694 1.694 2.469
Sc 1.694 1.694 5.619
Pd 0.000 0.000 4.044



Relative energies, in eV/atom, with the most stable structure set to zero: <one> 0.230; <two> 0.000.



<one>
4
Lattice="5.159 0.000 0.000 0.000 5.159 0.000 0.000 0.000 3.681" Properties=species:S:1:pos:R:3 comment="PBE-GGA Gd2ScPd, relaxed" dos_ef_per_ev_atom=0.947 pbc="T T T"
Gd 0.000 2.579 0.000
Gd 2.579 0.000 0.000
Sc 0.000 0.000 1.841
Pd 2.579 2.579 1.841



<two>
4
Lattice="3.645 0.000 0.000 0.000 3.645 0.000 0.000 0.000 7.612" Properties=species:S:1:pos:R:3 comment="PBE-GGA Gd2ScPd, relaxed" dos_ef_per_ev_atom=1.079 pbc="T T T"
Gd 0.000 0.000 1.671
Gd 0.000 0.000 5.941
Sc 1.822 1.822 3.806
Pd 1.822 1.822 0.000



Relative energies, in eV/atom, with the most stable structure set to zero: <one> 0.087; <two> 0.000.



<one>
3
Lattice="-1.815 1.815 5.976 1.815 -1.815 5.976 1.815 1.815 -5.976" Properties=species:S:1:pos:R:3 comment="PBE-GGA SmGdPd, relaxed" dos_ef_per_ev_atom=0.825 pbc="T T T"
Sm 0.000 0.000 0.000
Gd 0.000 0.000 8.555
Pd 0.000 0.000 4.249



<two>
3
Lattice="4.816 0.000 0.000 -2.408 4.171 0.000 0.000 0.000 3.881" Properties=species:S:1:pos:R:3 comment="PBE-GGA SmGdPd, relaxed" dos_ef_per_ev_atom=0.975 pbc="T T T"
Sm 0.000 0.000 0.000
Gd 2.408 1.390 1.743
Pd 0.000 2.781 2.758



Relative energies, in eV/atom, with the most stable structure set to zero: <one> 0.000; <two> 0.139.



<one>
4
Lattice="1.726 0.997 11.133 -1.726 0.997 11.133 0.000 -1.993 11.133" Properties=species:S:1:pos:R:3 comment="PBE-GGA SmGd2Pd, relaxed" dos_ef_per_ev_atom=0.897 pbc="T T T"
Sm 0.000 0.000 0.000
Gd 0.000 0.000 14.073
Gd 0.000 0.000 19.326
Pd 0.000 0.000 16.699



<two>
4
Lattice="3.613 0.000 0.000 0.000 3.613 0.000 0.000 0.000 8.548" Properties=species:S:1:pos:R:3 comment="PBE-GGA SmGd2Pd, relaxed" dos_ef_per_ev_atom=1.412 pbc="T T T"
Sm 0.000 0.000 0.000
Gd 1.806 1.806 2.584
Gd 1.806 1.806 5.963
Pd 0.000 0.000 4.274



Relative energies, in eV/atom, with the most stable structure set to zero: <one> 0.452; <two> 0.000.



<one>
4
Lattice="1.871 1.080 9.878 -1.871 1.080 9.878 0.000 -2.160 9.878" Properties=species:S:1:pos:R:3 comment="PBE-GGA Sm2GdPd, relaxed" dos_ef_per_ev_atom=1.367 pbc="T T T"
Sm 0.000 0.000 6.892
Sm 0.000 0.000 22.743
Gd 0.000 0.000 0.000
Pd 0.000 0.000 14.818



<two>
4
Lattice="3.638 0.000 0.000 0.000 3.638 0.000 0.000 0.000 8.570" Properties=species:S:1:pos:R:3 comment="PBE-GGA Sm2GdPd, relaxed" dos_ef_per_ev_atom=1.509 pbc="T T T"
Sm 0.000 0.000 1.710
Sm 0.000 0.000 6.861
Gd 1.819 1.819 4.285
Pd 1.819 1.819 0.000



Relative energies, in eV/atom, with the most stable structure set to zero: <one> 0.092; <two> 0.000.



<one>
4
Lattice="0.000 3.676 3.676 3.676 0.000 3.676 3.676 3.676 0.000" Properties=species:S:1:pos:R:3 comment="PBE-GGA Gd2SnPd, relaxed" dos_ef_per_ev_atom=0.816 pbc="T T T"
Gd 1.838 1.838 1.838
Gd 5.514 5.514 5.514
Sn 0.000 0.000 0.000
Pd 3.676 3.676 3.676



<two>
4
Lattice="3.563 0.000 0.000 0.000 3.563 0.000 0.000 0.000 7.768" Properties=species:S:1:pos:R:3 comment="PBE-GGA Gd2SnPd, relaxed" dos_ef_per_ev_atom=0.795 pbc="T T T"
Gd 0.000 0.000 1.750
Gd 0.000 0.000 6.018
Sn 1.781 1.781 3.884
Pd 1.781 1.781 0.000



<three>
4
Lattice="1.960 1.132 8.268 -1.960 1.132 8.268 0.000 -2.263 8.268" Properties=species:S:1:pos:R:3 comment="PBE-GGA Gd2SnPd, relaxed" dos_ef_per_ev_atom=0.896 pbc="T T T"
Gd 0.000 0.000 5.927
Gd 0.000 0.000 18.878
Sn 0.000 0.000 0.000
Pd 0.000 0.000 12.403



Relative energies, in eV/atom, with the most stable structure set to zero: <one> 0.021; <two> 0.000; <three> 0.173.



<one>
4
Lattice="0.000 3.616 3.616 3.616 0.000 3.616 3.616 3.616 0.000" Properties=species:S:1:pos:R:3 comment="PBE-GGA SrGdPd2, relaxed" dos_ef_per_ev_atom=0.989 pbc="T T T"
Sr 0.000 0.000 0.000
Gd 3.616 3.616 3.616
Pd 1.808 1.808 1.808
Pd 5.425 5.425 5.425



<two>
4
Lattice="3.610 0.000 0.000 0.000 3.610 0.000 0.000 0.000 7.411" Properties=species:S:1:pos:R:3 comment="PBE-GGA SrGdPd2, relaxed" dos_ef_per_ev_atom=0.428 pbc="T T T"
Sr 0.000 0.000 0.000
Gd 0.000 0.000 3.706
Pd 1.805 1.805 2.142
Pd 1.805 1.805 5.269



Relative energies, in eV/atom, with the most stable structure set to zero: <one> 0.092; <two> 0.000.



<one>
4
Lattice="3.583 0.000 0.000 0.000 3.583 0.000 0.000 0.000 8.538" Properties=species:S:1:pos:R:3 comment="PBE-GGA Tb2GdPd, relaxed" dos_ef_per_ev_atom=1.397 pbc="T T T"
Tb 0.000 0.000 1.679
Tb 0.000 0.000 6.859
Gd 1.791 1.791 4.269
Pd 1.791 1.791 0.000



<two>
4
Lattice="1.839 1.062 9.835 -1.839 1.062 9.835 0.000 -2.123 9.835" Properties=species:S:1:pos:R:3 comment="PBE-GGA Tb2GdPd, relaxed" dos_ef_per_ev_atom=1.279 pbc="T T T"
Tb 0.000 0.000 6.856
Tb 0.000 0.000 22.651
Gd 0.000 0.000 0.000
Pd 0.000 0.000 14.753



Relative energies, in eV/atom, with the most stable structure set to zero: <one> 0.000; <two> 0.111.